Record 1
DFT (GGA-PBE) results for an optimized crystal structure of Mg3RuO6.

Values from the calculation:
Formation energy without anion corrections ... -182.5 kJ per mole of atoms
Calculated density ... 4.04 g cm⁻³

Cell lengths 6.056, 6.056, 6.056 Å; angles 91.31, 91.31, 91.31 degrees
Positions (direct):
O: 0.699 0.073 0.921
O: 0.196 0.549 0.406
O: 0.406 0.196 0.549
O: 0.549 0.406 0.196
O: 0.921 0.699 0.073
O: 0.927 0.079 0.301
O: 0.301 0.927 0.079
O: 0.804 0.451 0.594
O: 0.073 0.921 0.699
O: 0.594 0.804 0.451
O: 0.451 0.594 0.804
O: 0.079 0.301 0.927
Ru: 0.000 0.000 0.000
Ru: 0.500 0.500 0.500
Mg: 0.439 0.930 0.746
Mg: 0.561 0.070 0.254
Mg: 0.746 0.439 0.930
Mg: 0.930 0.746 0.439
Mg: 0.254 0.561 0.070
Mg: 0.070 0.254 0.561

---

Record 2
DFT (GGA-PBE) results for an optimized crystal structure of PmMnCu4.

Values from the calculation:
Calculated density ... 8.07 g cm⁻³
VASP energy ... -30.5 eV per cell

Cell lengths 5.093, 5.093, 5.093 Å; angles 60.00, 60.00, 60.00 degrees
Positions (direct):
Cu: 0.623 0.623 0.623
Cu: 0.623 0.623 0.130
Cu: 0.130 0.623 0.623
Cu: 0.623 0.130 0.623
Pm: 0.000 0.000 0.000
Mn: 0.250 0.250 0.250

---

Record 3
DFT (GGA-PBE) results for an optimized crystal structure of GaFe2IrS.

Values from the calculation:
Formation energy without anion corrections ... 79.4 kJ per mole of atoms
Calculated density ... 6.59 g cm⁻³

Cell lengths 4.904, 4.904, 4.247 Å; angles 90.00, 90.00, 90.00 degrees
Positions (direct):
Fe: 0.500 0.000 0.000
Fe: 0.000 0.500 0.000
S: 0.000 0.000 0.500
Ga: 0.500 0.500 0.500
Ir: 0.000 0.000 0.000

---

Record 4
DFT (GGA-PBE) results for an optimized crystal structure of Ni2BPt2.

Values from the calculation:
Calculated density ... 13.94 g cm⁻³
VASP energy ... -60.0 eV per cell

Cell lengths 5.237, 5.237, 4.502 Å; angles 90.00, 90.00, 90.00 degrees
Positions (direct):
Pt: 0.821 0.321 0.500
Pt: 0.321 0.179 0.500
Pt: 0.179 0.679 0.500
Pt: 0.679 0.821 0.500
B: 0.000 0.000 0.000
B: 0.500 0.500 0.000
Ni: 0.340 0.840 0.000
Ni: 0.840 0.660 0.000
Ni: 0.160 0.340 0.000
Ni: 0.660 0.160 0.000